Entry from Alexandria via LeMat-Bulk: Ba2ZrCu after structural relaxation (PBEsol).

## Properties
E above lowest polymorph ... 0.344 eV per atom
Energy of formation ... 738 meV/atom
Space-group type ... No. 139
Density of states at the Fermi level ... 6.19 states/eV per cell

a b c (Å): 4.784 4.784 6.075
angles (deg): 113.19 113.19 90.00
Positions (direct):
1 Ba 0.750 0.250 0.500
2 Ba 0.250 0.750 0.500
3 Cu 0.500 0.500 0.000
4 Zr 0.000 0.000 0.000

=====

Entry from Alexandria via LeMat-Bulk: Hf3GeB after structural relaxation (PBEsol).

## Properties
Energy of formation ... -334 meV/atom
Space-group type ... No. 221
Density of states at the Fermi level ... 2.42 states/eV per cell

a b c (Å): 4.468 4.468 4.468
angles (deg): 90.00 90.00 90.00
Positions (direct):
1 Ge 0.500 0.500 0.500
2 B 0.000 0.000 0.000
3 Hf 0.000 0.500 0.000
4 Hf 0.000 0.000 0.500
5 Hf 0.500 0.000 0.000

=====

Entry from Alexandria via LeMat-Bulk: CoHgTe after structural relaxation (PBEsol).

## Properties
Formation energy from raw total energies ... 178 meV/atom
E above lowest polymorph ... 0.068 eV per atom
Space-group type ... No. 216
Density of states at the Fermi level ... 2.90 states/eV per cell

a b c (Å): 4.361 4.361 4.361
angles (deg): 60.00 60.00 60.00
Positions (direct):
1 Co 0.250 0.250 0.250
2 Hg 0.000 0.000 0.000
3 Te 0.500 0.500 0.500

=====

Entry from Alexandria via LeMat-Bulk: HgSbBr after structural relaxation (PBEsol).

## Properties
Formation energy from raw total energies ... 3 meV/atom
Space-group type ... No. 42
Density of states at the Fermi level ... 1.10 states/eV per cell

a b c (Å): 3.485 3.485 7.287
angles (deg): 97.59 97.59 116.61
Positions (direct):
1 Sb 0.332 0.332 0.664
2 Hg 0.665 0.665 0.329
3 Br 0.003 0.003 0.006